Entry 1:
# LiPb2Se

An optimized crystal structure of LiPb2Se (PBE, the Alexandria database).

## Properties
* calculated total energy: -13.5 eV per formula unit
* symmetry: I-42d
* Fermi-level density of states: 0.42 states/eV/atom
* energy relative to the elements, uncorrected: -0.18 eV per atom

```
8
Lattice="8.524 0.000 0.000 0.000 8.524 0.000 4.262 4.262 3.149" Properties=species:S:1:pos:R:3 pbc="T T T"
Pb 1.926 6.393 0.787
Pb 10.656 10.861 2.362
Pb 6.393 6.188 2.362
Pb 6.599 2.131 0.787
Li 4.262 4.262 0.000
Li 4.262 8.524 1.574
Se 8.524 4.262 1.574
Se 0.000 0.000 0.000
```

---

Entry 2:
# In3Hg3Bi

An optimized crystal structure of In3Hg3Bi (PBE, the Alexandria database).

## Properties
* calculated total energy: -10.3 eV per formula unit
* energy of formation: 0.38 eV/atom
* symmetry: Pm-3n
* Fermi-level density of states: 0.37 states/eV/atom

```
14
Lattice="8.028 0.000 0.000 0.000 8.028 0.000 0.000 0.000 8.028" Properties=species:S:1:pos:R:3 pbc="T T T"
In 2.007 4.014 0.000
In 0.000 2.007 4.014
In 4.014 0.000 2.007
In 4.014 0.000 6.021
In 6.021 4.014 0.000
In 0.000 6.021 4.014
Hg 4.014 2.007 0.000
Hg 0.000 4.014 6.021
Hg 4.014 6.021 0.000
Hg 6.021 0.000 4.014
Hg 2.007 0.000 4.014
Hg 0.000 4.014 2.007
Bi 4.014 4.014 4.014
Bi 0.000 0.000 0.000
```

---

Entry 3:
# Ca2TlN

An optimized crystal structure of Ca2TlN (PBE, the Alexandria database).

## Properties
* calculated total energy: -13.4 eV per formula unit
* symmetry: Fm-3m
* Fermi-level density of states: 1.00 states/eV/atom
* energy relative to the elements, uncorrected: 0.33 eV per atom

```
4
Lattice="0.224 -4.263 -2.735 -2.582 -0.360 -4.348 2.478 -0.046 -4.423" Properties=species:S:1:pos:R:3 pbc="T T T"
Ca 0.030 -1.167 -2.877
Ca 0.090 -3.502 -8.630
N 0.000 0.000 0.000
Tl 0.060 -2.335 -5.753
```

---

Entry 4:
# Ce2NdMn

An optimized crystal structure of Ce2NdMn (PBE, the Alexandria database).

## Properties
* calculated total energy: -25.0 eV per formula unit
* energy of formation: 0.20 eV/atom
* symmetry: R3m
* Fermi-level density of states: 1.62 states/eV/atom

```
4
Lattice="3.843 0.000 0.000 1.921 3.328 0.000 1.921 1.109 8.511" Properties=species:S:1:pos:R:3 pbc="T T T"
Ce 1.921 1.109 1.236
Ce 1.921 1.109 7.013
Nd 3.843 2.219 4.031
Mn 3.843 2.219 0.487
```